# CaMn2ReP PBE-GGA relaxed
# Crystal system: tetragonal
# E above lowest polymorph: 0.669 eV/atom
# DOS at the Fermi energy: 2.097 states/eV per atom
# Energy relative to the elements: 1.06 eV/atom
data_CaMn2ReP
_chemical_formula_sum 'Ca1 Mn2 Re1 P1'
_space_group_name_H-M_alt 'P 4/m m m'
_space_group_IT_number 123
_space_group_name_Hall '-P 4 2'
_cell_length_a 4.159
_cell_length_b 4.159
_cell_length_c 4.870
_cell_angle_alpha 90.00
_cell_angle_beta 90.00
_cell_angle_gamma 90.00
loop_
_atom_site_label
_atom_site_type_symbol
_atom_site_fract_x
_atom_site_fract_y
_atom_site_fract_z
_atom_site_occupancy
Ca1 Ca 0.000 0.000 0.000 1
Mn1 Mn 0.000 0.500 0.500 1
Re1 Re 0.500 0.500 0.000 1
P1 P 0.000 0.000 0.500 1

***

# Ti6CN PBE-GGA relaxed
# Crystal system: monoclinic
# E above lowest polymorph: 0.003 eV/atom
# DOS at the Fermi energy: 0.896 states/eV per atom
# E_form (uncorrected): -0.6808 eV per atom
data_Ti6CN
_chemical_formula_sum 'Ti12 C2 N2'
_space_group_name_H-M_alt 'C 1 2/m 1'
_space_group_IT_number 12
_cell_length_a 5.163
_cell_length_b 9.010
_cell_length_c 5.157
_cell_angle_alpha 90.00
_cell_angle_beta 106.91
_cell_angle_gamma 90.00
loop_
_space_group_symop_operation_xyz
'x,y,z'
'-x,-y,-z'
'-x,y,-z'
'x,-y,z'
'x+1/2,y+1/2,z'
'-x+1/2,-y+1/2,-z'
'-x+1/2,y+1/2,-z'
'x+1/2,-y+1/2,z'
loop_
_atom_site_label
_atom_site_type_symbol
_atom_site_fract_x
_atom_site_fract_y
_atom_site_fract_z
_atom_site_occupancy
Ti1 Ti 0.247 0.157 0.250 1
Ti2 Ti 0.249 0.000 0.752 1
C1 C 0.000 0.500 0.500 1
N1 N 0.000 0.000 0.000 1

***

# GaSiPd2 PBE-GGA relaxed
# Crystal system: tetragonal
# DOS at the Fermi energy: 0.420 states/eV per atom
# E_form (uncorrected): -0.4170 eV per atom
data_GaSiPd2
_chemical_formula_sum 'Ga1 Si1 Pd2'
_space_group_name_H-M_alt 'P 4/m m m'
_space_group_IT_number 123
_space_group_name_Hall '-P 4 2'
_cell_length_a 4.391
_cell_length_b 4.391
_cell_length_c 3.035
_cell_angle_alpha 90.00
_cell_angle_beta 90.00
_cell_angle_gamma 90.00
loop_
_atom_site_label
_atom_site_type_symbol
_atom_site_fract_x
_atom_site_fract_y
_atom_site_fract_z
_atom_site_occupancy
Ga1 Ga 0.000 0.000 0.000 1
Si1 Si 0.500 0.500 0.000 1
Pd1 Pd 0.000 0.500 0.500 1

***

# AcTbAg2 PBE-GGA relaxed
# Crystal system: tetragonal
# E above lowest polymorph: 0.000 eV/atom
# DOS at the Fermi energy: 0.507 states/eV per atom
# Energy relative to the elements: -0.28 eV/atom
data_AcTbAg2
_chemical_formula_sum 'Ac1 Tb1 Ag2'
_space_group_name_H-M_alt 'P 4/m m m'
_space_group_IT_number 123
_space_group_name_Hall '-P 4 2'
_cell_length_a 3.784
_cell_length_b 3.784
_cell_length_c 7.666
_cell_angle_alpha 90.00
_cell_angle_beta 90.00
_cell_angle_gamma 90.00
loop_
_atom_site_label
_atom_site_type_symbol
_atom_site_fract_x
_atom_site_fract_y
_atom_site_fract_z
_atom_site_occupancy
Ac1 Ac 0.000 0.000 0.000 1
Tb1 Tb 0.000 0.000 0.500 1
Ag1 Ag 0.500 0.500 0.285 1

***

# Zn2Cu2Pb PBE-GGA relaxed
# Crystal system: tetragonal
# E above lowest polymorph: 0.000 eV/atom
# DOS at the Fermi energy: 0.333 states/eV per atom
# Energy relative to the elements: 0.11 eV/atom
data_Zn2Cu2Pb
_chemical_formula_sum 'Zn4 Cu4 Pb2'
_space_group_name_H-M_alt 'I 4/m m m'
_space_group_IT_number 139
_space_group_name_Hall '-I 4 2'
_cell_length_a 3.764
_cell_length_b 3.764
_cell_length_c 12.232
_cell_angle_alpha 90.00
_cell_angle_beta 90.00
_cell_angle_gamma 90.00
loop_
_atom_site_label
_atom_site_type_symbol
_atom_site_fract_x
_atom_site_fract_y
_atom_site_fract_z
_atom_site_occupancy
Zn1 Zn 0.000 0.500 0.250 1
Cu1 Cu 0.000 0.000 0.106 1
Pb1 Pb 0.000 0.000 0.500 1

***

# Sm2ZnH PBE-GGA relaxed
# Crystal system: tetragonal
# E above lowest polymorph: 0.000 eV/atom
# DOS at the Fermi energy: 1.211 states/eV per atom
data_Sm2ZnH
_chemical_formula_sum 'Sm2 Zn1 H1'
_space_group_name_H-M_alt 'P 4/m m m'
_space_group_IT_number 123
_space_group_name_Hall '-P 4 2'
_cell_length_a 3.364
_cell_length_b 3.364
_cell_length_c 7.219
_cell_angle_alpha 90.00
_cell_angle_beta 90.00
_cell_angle_gamma 90.00
loop_
_atom_site_label
_atom_site_type_symbol
_atom_site_fract_x
_atom_site_fract_y
_atom_site_fract_z
_atom_site_occupancy
Sm1 Sm 0.000 0.000 0.230 1
Zn1 Zn 0.500 0.500 0.500 1
H1 H 0.500 0.500 0.000 1

***

# RbDyPuCl6 PBE-GGA relaxed
# Crystal system: trigonal
# DOS at the Fermi energy: 1.710 states/eV per atom
# E_form (uncorrected): -2.0654 eV per atom
data_RbDyPuCl6
_chemical_formula_sum 'Rb2 Dy2 Pu2 Cl12'
_space_group_name_H-M_alt 'P -3 1 c'
_space_group_IT_number 163
_space_group_name_Hall '-P 3 2c'
_cell_length_a 7.1998
_cell_length_b 7.1998
_cell_length_c 14.4163
_cell_angle_alpha 90.00
_cell_angle_beta 90.00
_cell_angle_gamma 120.00
loop_
_atom_site_label
_atom_site_type_symbol
_atom_site_fract_x
_atom_site_fract_y
_atom_site_fract_z
_atom_site_occupancy
Rb1 Rb 0.0000 0.0000 0.0000 1
Dy1 Dy 0.3333 0.6667 0.2500 1
Pu1 Pu 0.3333 0.6667 0.7500 1
Cl1 Cl 0.0181 0.3791 0.1427 1

***

# AgBO2F PBE-GGA relaxed
# Crystal system: tetragonal
# DOS at the Fermi energy: 0.830 states/eV per atom
# E_form (uncorrected): 0.9283 eV per atom
data_AgBO2F
_chemical_formula_sum 'Ag1 B1 O2 F1'
_space_group_name_H-M_alt 'P 4/m m m'
_space_group_IT_number 123
_space_group_name_Hall '-P 4 2'
_cell_length_a 4.055
_cell_length_b 4.055
_cell_length_c 4.266
_cell_angle_alpha 90.00
_cell_angle_beta 90.00
_cell_angle_gamma 90.00
loop_
_atom_site_label
_atom_site_type_symbol
_atom_site_fract_x
_atom_site_fract_y
_atom_site_fract_z
_atom_site_occupancy
Ag1 Ag 0.000 0.000 0.000 1
B1 B 0.500 0.500 0.500 1
O1 O 0.000 0.500 0.000 1
F1 F 0.000 0.000 0.500 1

***

What total energy values result from the calculations? In sequence: -32.88, -70.37, -20.50, -15.56, -13.90, -14.27, -49.57, -16.67 eV/f.u..